Arrangement w

# PBE-GGA SmPbAuS3, optimized geometry
data_SmPbAuS3
_space_group_name_H-M_alt 'P 1'
_space_group_IT_number 1
_cell_length_a 7.684
_cell_length_b 4.061
_cell_length_c 9.856
_cell_angle_alpha 90.00
_cell_angle_beta 106.17
_cell_angle_gamma 90.00
loop_
_space_group_symop_operation_xyz
'x,y,z'
loop_
_atom_site_label
_atom_site_fract_x
_atom_site_fract_y
_atom_site_fract_z
Au1 0.866 0.750 0.418
Au2 0.134 0.250 0.582
Pb1 0.274 0.250 0.297
Pb2 0.726 0.750 0.703
S1 0.427 0.750 0.132
S2 0.957 0.750 0.190
S3 0.684 0.250 0.454
S4 0.316 0.750 0.546
S5 0.043 0.250 0.810
S6 0.573 0.250 0.868
Sm1 0.698 0.250 0.163
Sm2 0.302 0.750 0.837
# Calculated volume = 295 Å³/cell
# Space-group type = P2_1/m, No. 11

***

Arrangement x

# PBE-GGA SmPbAuS3, optimized geometry
data_SmPbAuS3
_space_group_name_H-M_alt 'P 1'
_space_group_IT_number 1
_cell_length_a 13.513
_cell_length_b 4.045
_cell_length_c 10.737
_cell_angle_alpha 90.00
_cell_angle_beta 90.00
_cell_angle_gamma 90.00
loop_
_space_group_symop_operation_xyz
'x,y,z'
loop_
_atom_site_label
_atom_site_fract_x
_atom_site_fract_y
_atom_site_fract_z
Au1 0.021 0.750 0.097
Au2 0.521 0.750 0.403
Au3 0.479 0.250 0.597
Au4 0.979 0.250 0.903
Pb1 0.774 0.250 0.054
Pb2 0.274 0.250 0.446
Pb3 0.726 0.750 0.554
Pb4 0.226 0.750 0.946
S1 0.606 0.750 0.059
S2 0.131 0.250 0.131
S3 0.865 0.750 0.233
S4 0.365 0.750 0.267
S5 0.631 0.250 0.369
S6 0.106 0.750 0.441
S7 0.894 0.250 0.559
S8 0.369 0.750 0.631
S9 0.635 0.250 0.733
S10 0.135 0.250 0.767
S11 0.869 0.750 0.869
S12 0.394 0.250 0.941
Sm1 0.490 0.250 0.173
Sm2 0.990 0.250 0.327
Sm3 0.010 0.750 0.673
Sm4 0.510 0.750 0.827
# Calculated volume = 587 Å³/cell
# Space-group type = Pnma, No. 62

***

Unit: kJ/mol of atoms. Relative energies: arrangement w 0.0; arrangement x 0.7.

***

Arrangement w

# PBE-GGA YPbAuS3, optimized geometry
data_YPbAuS3
_space_group_name_H-M_alt 'P 1'
_space_group_IT_number 1
_cell_length_a 11.564
_cell_length_b 4.136
_cell_length_c 12.650
_cell_angle_alpha 90.00
_cell_angle_beta 90.00
_cell_angle_gamma 90.00
loop_
_space_group_symop_operation_xyz
'x,y,z'
loop_
_atom_site_label
_atom_site_fract_x
_atom_site_fract_y
_atom_site_fract_z
Au1 0.786 0.000 0.123
Au2 0.286 0.000 0.377
Au3 0.714 0.500 0.623
Au4 0.214 0.500 0.877
Pb1 0.167 0.000 0.063
Pb2 0.667 0.000 0.437
Pb3 0.333 0.500 0.563
Pb4 0.833 0.500 0.937
S1 0.597 0.000 0.056
S2 0.245 0.500 0.189
S3 0.973 0.000 0.195
S4 0.473 0.000 0.305
S5 0.745 0.500 0.311
S6 0.097 0.000 0.444
S7 0.903 0.500 0.556
S8 0.255 0.000 0.689
S9 0.527 0.500 0.695
S10 0.027 0.500 0.805
S11 0.755 0.000 0.811
S12 0.403 0.500 0.944
Y1 0.478 0.500 0.158
Y2 0.978 0.500 0.342
Y3 0.022 0.000 0.658
Y4 0.522 0.000 0.842
# Calculated volume = 605 Å³/cell
# Space-group type = Pnma, No. 62

***

Arrangement x

# PBE-GGA YPbAuS3, optimized geometry
data_YPbAuS3
_space_group_name_H-M_alt 'P 1'
_space_group_IT_number 1
_cell_length_a 6.903
_cell_length_b 6.903
_cell_length_c 10.435
_cell_angle_alpha 90.00
_cell_angle_beta 90.00
_cell_angle_gamma 33.70
loop_
_space_group_symop_operation_xyz
'x,y,z'
loop_
_atom_site_label
_atom_site_fract_x
_atom_site_fract_y
_atom_site_fract_z
Au1 0.456 0.456 0.250
Au2 0.544 0.544 0.750
Pb1 0.753 0.753 0.250
Pb2 0.247 0.247 0.750
S1 0.359 0.359 0.049
S2 0.088 0.088 0.250
S3 0.359 0.359 0.451
S4 0.641 0.641 0.549
S5 0.912 0.912 0.750
S6 0.641 0.641 0.951
Y1 0.000 0.000 0.000
Y2 0.000 0.000 0.500
# Calculated volume = 276 Å³/cell
# Space-group type = Cmcm, No. 63

***

Unit: kJ/mol of atoms. Relative energies: arrangement w 0.0; arrangement x 2.5.

***

Arrangement w

# PBE-GGA ScPbAuSe3, optimized geometry
data_ScPbAuSe3
_space_group_name_H-M_alt 'P 1'
_space_group_IT_number 1
_cell_length_a 10.352
_cell_length_b 7.164
_cell_length_c 7.164
_cell_angle_alpha 147.98
_cell_angle_beta 90.00
_cell_angle_gamma 90.00
loop_
_space_group_symop_operation_xyz
'x,y,z'
loop_
_atom_site_label
_atom_site_fract_x
_atom_site_fract_y
_atom_site_fract_z
Au1 0.750 0.544 0.456
Au2 0.250 0.456 0.544
Pb1 0.250 0.768 0.232
Pb2 0.750 0.232 0.768
Sc1 0.000 0.000 0.000
Sc2 0.500 0.000 0.000
Se1 0.750 0.913 0.087
Se2 0.536 0.639 0.361
Se3 0.964 0.639 0.361
Se4 0.036 0.361 0.639
Se5 0.464 0.361 0.639
Se6 0.250 0.087 0.913
# Calculated volume = 282 Å³/cell
# Space-group type = Cmcm, No. 63

***

Arrangement x

# PBE-GGA ScPbAuSe3, optimized geometry
data_ScPbAuSe3
_space_group_name_H-M_alt 'P 1'
_space_group_IT_number 1
_cell_length_a 7.800
_cell_length_b 3.996
_cell_length_c 9.806
_cell_angle_alpha 90.00
_cell_angle_beta 107.17
_cell_angle_gamma 90.00
loop_
_space_group_symop_operation_xyz
'x,y,z'
loop_
_atom_site_label
_atom_site_fract_x
_atom_site_fract_y
_atom_site_fract_z
Au1 0.613 0.250 0.097
Au2 0.387 0.750 0.903
Pb1 0.243 0.750 0.215
Pb2 0.757 0.250 0.785
Sc1 0.810 0.750 0.333
Sc2 0.190 0.250 0.667
Se1 0.812 0.750 0.046
Se2 0.573 0.250 0.348
Se3 0.068 0.250 0.375
Se4 0.932 0.750 0.625
Se5 0.427 0.750 0.652
Se6 0.188 0.250 0.954
# Calculated volume = 292 Å³/cell
# Space-group type = P2_1/m, No. 11

***

Unit: kJ/mol of atoms. Relative energies: arrangement w 3.1; arrangement x 0.0.

***

Arrangement w

# PBE-GGA ScTe3PbAu, optimized geometry
data_ScTe3PbAu
_space_group_name_H-M_alt 'P 1'
_space_group_IT_number 1
_cell_length_a 11.741
_cell_length_b 4.349
_cell_length_c 13.354
_cell_angle_alpha 90.00
_cell_angle_beta 90.00
_cell_angle_gamma 90.00
loop_
_space_group_symop_operation_xyz
'x,y,z'
loop_
_atom_site_label
_atom_site_fract_x
_atom_site_fract_y
_atom_site_fract_z
Au1 0.719 0.500 0.190
Au2 0.219 0.000 0.310
Au3 0.781 0.500 0.690
Au4 0.281 0.000 0.810
Pb1 0.943 0.000 0.223
Pb2 0.443 0.500 0.277
Pb3 0.557 0.000 0.723
Pb4 0.057 0.500 0.777
Sc1 0.689 0.000 0.007
Sc2 0.189 0.500 0.493
Sc3 0.811 0.000 0.507
Sc4 0.311 0.500 0.993
Te1 0.856 0.500 0.029
Te2 0.456 0.000 0.099
Te3 0.178 0.500 0.189
Te4 0.678 0.000 0.311
Te5 0.956 0.500 0.401
Te6 0.356 0.000 0.471
Te7 0.644 0.500 0.529
Te8 0.044 0.000 0.599
Te9 0.322 0.500 0.689
Te10 0.822 0.000 0.811
Te11 0.544 0.500 0.901
Te12 0.144 0.000 0.971
# Calculated volume = 682 Å³/cell
# Space-group type = Pnma, No. 62

***

Arrangement x

# PBE-GGA ScTe3PbAu, optimized geometry
data_ScTe3PbAu
_space_group_name_H-M_alt 'P 1'
_space_group_IT_number 1
_cell_length_a 7.644
_cell_length_b 7.644
_cell_length_c 10.959
_cell_angle_alpha 90.00
_cell_angle_beta 90.00
_cell_angle_gamma 148.21
loop_
_space_group_symop_operation_xyz
'x,y,z'
loop_
_atom_site_label
_atom_site_fract_x
_atom_site_fract_y
_atom_site_fract_z
Au1 0.538 0.462 0.250
Au2 0.462 0.538 0.750
Pb1 0.218 0.782 0.250
Pb2 0.782 0.218 0.750
Sc1 0.000 0.000 0.000
Sc2 0.000 0.000 0.500
Te1 0.641 0.359 0.039
Te2 0.911 0.089 0.250
Te3 0.641 0.359 0.461
Te4 0.359 0.641 0.539
Te5 0.089 0.911 0.750
Te6 0.359 0.641 0.961
# Calculated volume = 337 Å³/cell
# Space-group type = Cmcm, No. 63

***

Arrangement y

# PBE-GGA ScTe3PbAu, optimized geometry
data_ScTe3PbAu
_space_group_name_H-M_alt 'P 1'
_space_group_IT_number 1
_cell_length_a 8.222
_cell_length_b 4.235
_cell_length_c 10.518
_cell_angle_alpha 90.00
_cell_angle_beta 107.39
_cell_angle_gamma 90.00
loop_
_space_group_symop_operation_xyz
'x,y,z'
loop_
_atom_site_label
_atom_site_fract_x
_atom_site_fract_y
_atom_site_fract_z
Au1 0.401 0.750 0.401
Au2 0.599 0.250 0.599
Pb1 0.774 0.250 0.287
Pb2 0.226 0.750 0.713
Sc1 0.204 0.250 0.179
Sc2 0.796 0.750 0.821
Te1 0.931 0.750 0.121
Te2 0.441 0.750 0.152
Te3 0.203 0.250 0.460
Te4 0.797 0.750 0.540
Te5 0.559 0.250 0.848
Te6 0.069 0.250 0.879
# Calculated volume = 349 Å³/cell
# Space-group type = P2_1/m, No. 11

***

Unit: kJ/mol of atoms. Relative energies: arrangement w 4.8; arrangement x 1.9; arrangement y 0.0.

***

Arrangement w

# PBE-GGA TmTe3PbAu, optimized geometry
data_TmTe3PbAu
_space_group_name_H-M_alt 'P 1'
_space_group_IT_number 1
_cell_length_a 12.058
_cell_length_b 4.446
_cell_length_c 13.242
_cell_angle_alpha 90.00
_cell_angle_beta 90.00
_cell_angle_gamma 90.00
loop_
_space_group_symop_operation_xyz
'x,y,z'
loop_
_atom_site_label
_atom_site_fract_x
_atom_site_fract_y
_atom_site_fract_z
Au1 0.725 0.500 0.192
Au2 0.225 0.000 0.308
Au3 0.775 0.500 0.692
Au4 0.275 0.000 0.808
Pb1 0.946 0.000 0.223
Pb2 0.446 0.500 0.277
Pb3 0.554 0.000 0.723
Pb4 0.054 0.500 0.777
Te1 0.865 0.500 0.032
Te2 0.449 0.000 0.100
Te3 0.179 0.500 0.194
Te4 0.679 0.000 0.306
Te5 0.949 0.500 0.400
Te6 0.365 0.000 0.468
Te7 0.635 0.500 0.532
Te8 0.051 0.000 0.600
Te9 0.321 0.500 0.694
Te10 0.821 0.000 0.806
Te11 0.551 0.500 0.900
Te12 0.135 0.000 0.968
Tm1 0.689 0.000 0.016
Tm2 0.189 0.500 0.484
Tm3 0.811 0.000 0.516
Tm4 0.311 0.500 0.984
# Calculated volume = 710 Å³/cell
# Space-group type = Pnma, No. 62

***

Arrangement x

# PBE-GGA TmTe3PbAu, optimized geometry
data_TmTe3PbAu
_space_group_name_H-M_alt 'P 1'
_space_group_IT_number 1
_cell_length_a 7.732
_cell_length_b 7.732
_cell_length_c 11.110
_cell_angle_alpha 90.00
_cell_angle_beta 90.00
_cell_angle_gamma 147.95
loop_
_space_group_symop_operation_xyz
'x,y,z'
loop_
_atom_site_label
_atom_site_fract_x
_atom_site_fract_y
_atom_site_fract_z
Au1 0.467 0.533 0.250
Au2 0.533 0.467 0.750
Pb1 0.775 0.225 0.250
Pb2 0.225 0.775 0.750
Te1 0.355 0.645 0.048
Te2 0.092 0.908 0.250
Te3 0.355 0.645 0.452
Te4 0.645 0.355 0.548
Te5 0.908 0.092 0.750
Te6 0.645 0.355 0.952
Tm1 0.000 0.000 0.000
Tm2 0.000 0.000 0.500
# Calculated volume = 352 Å³/cell
# Space-group type = Cmcm, No. 63

***

Arrangement y

# PBE-GGA TmTe3PbAu, optimized geometry
data_TmTe3PbAu
_space_group_name_H-M_alt 'P 1'
_space_group_IT_number 1
_cell_length_a 8.327
_cell_length_b 4.292
_cell_length_c 10.643
_cell_angle_alpha 90.00
_cell_angle_beta 107.23
_cell_angle_gamma 90.00
loop_
_space_group_symop_operation_xyz
'x,y,z'
loop_
_atom_site_label
_atom_site_fract_x
_atom_site_fract_y
_atom_site_fract_z
Au1 0.402 0.750 0.401
Au2 0.598 0.250 0.599
Pb1 0.772 0.250 0.291
Pb2 0.228 0.750 0.709
Te1 0.926 0.750 0.126
Te2 0.453 0.750 0.157
Te3 0.210 0.250 0.465
Te4 0.790 0.750 0.535
Te5 0.547 0.250 0.843
Te6 0.074 0.250 0.874
Tm1 0.204 0.250 0.179
Tm2 0.796 0.750 0.821
# Calculated volume = 363 Å³/cell
# Space-group type = P2_1/m, No. 11

***

Unit: kJ/mol of atoms. Relative energies: arrangement w 3.4; arrangement x 0.5; arrangement y 0.0.

***

Arrangement w

# PBE-GGA TmTe3PbAu, optimized geometry
data_TmTe3PbAu
_space_group_name_H-M_alt 'P 1'
_space_group_IT_number 1
_cell_length_a 10.542
_cell_length_b 4.416
_cell_length_c 16.564
_cell_angle_alpha 90.00
_cell_angle_beta 90.00
_cell_angle_gamma 90.00
loop_
_space_group_symop_operation_xyz
'x,y,z'
loop_
_atom_site_label
_atom_site_fract_x
_atom_site_fract_y
_atom_site_fract_z
Au1 0.239 0.750 0.174
Au2 0.739 0.750 0.326
Au3 0.261 0.250 0.674
Au4 0.761 0.250 0.826
Pb1 0.446 0.250 0.200
Pb2 0.946 0.250 0.300
Pb3 0.054 0.750 0.700
Pb4 0.554 0.750 0.800
Te1 0.350 0.750 0.030
Te2 0.979 0.250 0.110
Te3 0.653 0.750 0.178
Te4 0.153 0.750 0.322
Te5 0.479 0.250 0.390
Te6 0.850 0.750 0.470
Te7 0.150 0.250 0.530
Te8 0.521 0.750 0.610
Te9 0.847 0.250 0.678
Te10 0.347 0.250 0.822
Te11 0.021 0.750 0.890
Te12 0.650 0.250 0.970
Tm1 0.828 0.750 0.023
Tm2 0.328 0.750 0.477
Tm3 0.672 0.250 0.523
Tm4 0.172 0.250 0.977
# Calculated volume = 771 Å³/cell
# Space-group type = Pnma, No. 62

***

Arrangement x

# PBE-GGA TmTe3PbAu, optimized geometry
data_TmTe3PbAu
_space_group_name_H-M_alt 'P 1'
_space_group_IT_number 1
_cell_length_a 10.114
_cell_length_b 10.114
_cell_length_c 8.806
_cell_angle_alpha 100.38
_cell_angle_beta 100.38
_cell_angle_gamma 24.42
loop_
_space_group_symop_operation_xyz
'x,y,z'
loop_
_atom_site_label
_atom_site_fract_x
_atom_site_fract_y
_atom_site_fract_z
Au1 0.553 0.553 0.213
Au2 0.447 0.447 0.787
Pb1 0.875 0.875 0.422
Pb2 0.125 0.125 0.578
Te1 0.000 0.000 0.000
Te2 0.321 0.321 0.142
Te3 0.689 0.689 0.345
Te4 0.500 0.500 0.500
Te5 0.311 0.311 0.655
Te6 0.679 0.679 0.858
Tm1 0.159 0.159 0.092
Tm2 0.841 0.841 0.908
# Calculated volume = 366 Å³/cell
# Space-group type = C2/m, No. 12

***

Unit: kJ/mol of atoms. Relative energies: arrangement w 0.0; arrangement x 2.5.